A relaxed structure of H2Pd4Se, computed with PBE.

Computed properties:
DFT total energy (eV/atom): -4.185
Spin magnetization (μB/atom): 0.00
Polymorph energy (0 for the lowest one) (eV per atom): 0.327
Theoretical density (g/cm³): 8.21
Crystal system: tetragonal

Geometry as POSCAR:
```
H2Pd4Se
1.0
-2.584 3.487 1.892
-1.346 -2.895 3.497
1.641 1.620 5.178
H Pd Se
2 4 1
direct
0.556 0.556 0.887 H
0.444 0.444 0.113 H
0.500 0.000 0.000 Pd
0.732 0.732 0.536 Pd
0.268 0.268 0.464 Pd
0.000 0.500 0.000 Pd
0.000 0.000 0.000 Se
```